[1]
DFT (PBE) results for a relaxed structure of Ca2CrRh.

a = 10.407 Å, b = 10.407 Å, c = 7.732 Å
α = 47.70°, β = 47.70°, γ = 90.00°
Last column: magnetic moment on the atom in μB.
Element x y z (fractional)
Cr1 0.500 0.500 0.000  3.50
Cr2 0.250 0.750 0.500  3.50
Ca1 0.787 0.125 0.250  0.01
Ca2 0.963 0.625 0.250  0.01
Ca3 0.375 0.213 0.750  0.01
Ca4 0.875 0.037 0.750  0.01
Rh1 0.000 0.000 0.000  -0.09
Rh2 0.750 0.250 0.500  -0.09

Computed properties:
The density of states at the Fermi level is 2.8 states/eV/f.u. Its volume is 256.9 Å³ per cell. As for the space group: No. 122. The formation energy from the elements is 0.2961 eV per atom. The value obtained for the raw total energy is -4.948 eV per atom. Its crystal system is tetragonal. The calculation puts the excess energy over the best structure of this formula in the dataset at 231.4 meV per atom.



[2]
DFT (PBE) results for a relaxed structure of Ca2CrRh.

a = 4.742 Å, b = 4.742 Å, c = 3.994 Å
α = 90.00°, β = 90.00°, γ = 90.00°
Last column: magnetic moment on the atom in μB.
Element x y z (fractional)
Cr1 0.500 0.000 0.500  3.87
Ca1 0.000 0.000 0.000  0.04
Ca2 0.500 0.500 0.000  0.04
Rh1 0.000 0.500 0.500  0.05

Computed properties:
The density of states at the Fermi level is 1.6 states/eV/f.u. Its volume is 89.8 Å³ per cell. As for the space group: No. 123. The formation energy from the elements is 0.1918 eV per atom. The value obtained for the raw total energy is -5.053 eV per atom. Its crystal system is tetragonal. The calculation puts the excess energy over the best structure of this formula in the dataset at 127.1 meV per atom.



[3]
DFT (PBE) results for a relaxed structure of CaCrRh2.

a = 8.635 Å, b = 8.635 Å, c = 8.635 Å
α = 20.31°, β = 20.31°, γ = 20.31°
Last column: magnetic moment on the atom in μB.
Element x y z (fractional)
Cr1 0.750 0.750 0.750  2.79
Ca1 0.250 0.250 0.250  0.08
Rh1 0.009 0.009 0.009  0.10
Rh2 0.491 0.491 0.491  0.10

Computed properties:
The density of states at the Fermi level is 5.5 states/eV/f.u. Its volume is 67.8 Å³ per cell. As for the space group: No. 166. The formation energy from the elements is 0.2115 eV per atom. The value obtained for the raw total energy is -6.370 eV per atom. Its crystal system is trigonal. The calculation puts the excess energy over the best structure of this formula in the dataset at 329.7 meV per atom.



[4]
DFT (PBE) results for a relaxed structure of CaCrRh2.

a = 5.660 Å, b = 5.660 Å, c = 5.660 Å
α = 149.21°, β = 132.23°, γ = 57.91°
Last column: magnetic moment on the atom in μB.
Element x y z (fractional)
Cr1 0.779 0.279 0.500  3.10
Ca1 0.497 0.497 0.000  0.01
Rh1 0.995 0.995 0.000  -0.05
Rh2 0.230 0.730 0.500  -0.15

Computed properties:
The density of states at the Fermi level is 3.9 states/eV/f.u. Its volume is 68.2 Å³ per cell. As for the space group: No. 44. The formation energy from the elements is 0.0807 eV per atom. The value obtained for the raw total energy is -6.501 eV per atom. Its crystal system is orthorhombic. The calculation puts the excess energy over the best structure of this formula in the dataset at 199.0 meV per atom.



Look up the formation energy from the elements of the first one. 0.2961 eV per atom



Among the records above, which one has the lowest excess energy over the best structure of this formula in the dataset? number 2



What is the raw total energy in the fourth record? -6.501 eV per atom